(1)
This record from the Alexandria database describes an optimized crystal structure of Zr2MnGa3. The functional is PBE.

- Density of states at the Fermi level: 0.754 states/eV per atom
- ρ: 6.49 Mg/m³
- Total magnetization: 2.95 μB/f.u.
- Electronic total energy: -36.04 eV/cell
- Energy of formation from the pure elements: -0.12 eV per atom

Structure (CIF):
```
data_Zr2MnGa3
_chemical_formula_sum 'Zr2 Mn1 Ga3'
_symmetry_space_group_name_H-M 'P 1'
_symmetry_Int_Tables_number 1
_symmetry_space_group_name_Hall 'P 1'
_cell_length_a 3.021
_cell_length_b 5.469
_cell_length_c 7.591
_cell_angle_alpha 111.11
_cell_angle_beta 101.48
_cell_angle_gamma 90.00
loop_
_atom_site_label
_atom_site_type_symbol
_atom_site_fract_x
_atom_site_fract_y
_atom_site_fract_z
Zr1 Zr 0.675 0.175 0.350
Zr2 Zr 0.325 0.825 0.650
Mn1 Mn 0.000 0.500 0.000
Ga1 Ga 0.349 0.349 0.697
Ga2 Ga 0.000 0.000 0.000
Ga3 Ga 0.651 0.651 0.303
```



(2)
This record from the Alexandria database describes an optimized crystal structure of NdDy5Ag6. The functional is PBE.

- Density of states at the Fermi level: 0.522 states/eV per atom
- ρ: 9.07 Mg/m³
- Total magnetization: 0.00 μB/f.u.
- Electronic total energy: -48.60 eV/cell
- Energy of formation from the pure elements: -0.31 eV per atom

Structure (CIF):
```
data_NdDy5Ag6
_chemical_formula_sum 'Nd1 Dy5 Ag6'
_symmetry_space_group_name_H-M 'P 1'
_symmetry_Int_Tables_number 1
_symmetry_space_group_name_Hall 'P 1'
_cell_length_a 5.191
_cell_length_b 7.253
_cell_length_c 8.217
_cell_angle_alpha 90.00
_cell_angle_beta 71.59
_cell_angle_gamma 90.00
loop_
_atom_site_label
_atom_site_type_symbol
_atom_site_fract_x
_atom_site_fract_y
_atom_site_fract_z
Nd1 Nd 0.000 0.000 0.000
Ag1 Ag 0.830 0.746 0.340
Ag2 Ag 0.830 0.254 0.340
Ag3 Ag 0.500 0.259 0.000
Ag4 Ag 0.500 0.741 0.000
Ag5 Ag 0.170 0.746 0.660
Ag6 Ag 0.170 0.254 0.660
Dy1 Dy 0.666 0.500 0.669
Dy2 Dy 0.332 0.000 0.335
Dy3 Dy 0.000 0.500 0.000
Dy4 Dy 0.668 0.000 0.665
Dy5 Dy 0.334 0.500 0.331
```



(3)
This record from the Alexandria database describes an optimized crystal structure of CuGeRu3. The functional is PBE.

- Density of states at the Fermi level: 1.537 states/eV per atom
- Offset from the most stable computed form: 0 meV/atom
- ρ: 7.95 Mg/m³
- Total magnetization: 2.65 μB/f.u.
- Electronic total energy: -29.95 eV/cell
- Energy of formation from the pure elements: 1.32 eV per atom

Structure (CIF):
```
data_CuGeRu3
_chemical_formula_sum 'Cu1 Ge1 Ru3'
_symmetry_space_group_name_H-M 'P 1'
_symmetry_Int_Tables_number 1
_symmetry_space_group_name_Hall 'P 1'
_cell_length_a 4.510
_cell_length_b 4.510
_cell_length_c 4.510
_cell_angle_alpha 90.00
_cell_angle_beta 90.00
_cell_angle_gamma 90.00
loop_
_atom_site_label
_atom_site_type_symbol
_atom_site_fract_x
_atom_site_fract_y
_atom_site_fract_z
Ru1 Ru 0.000 0.500 0.000
Ru2 Ru 0.000 0.000 0.500
Ru3 Ru 0.500 0.000 0.000
Ge1 Ge 0.000 0.000 0.000
Cu1 Cu 0.500 0.500 0.500
```



(4)
This record from the Alexandria database describes an optimized crystal structure of SiNiSn2W. The functional is PBE.

- Density of states at the Fermi level: 0.891 states/eV per atom
- Raw formation energy: 1381 meV/atom
- ρ: 7.35 Mg/m³
- Total magnetization: 0.59 μB/f.u.
- Electronic total energy: -25.26 eV/cell

Structure (CIF):
```
data_SiNiSn2W
_chemical_formula_sum 'Si1 Ni1 Sn2 W1'
_symmetry_space_group_name_H-M 'P 1'
_symmetry_Int_Tables_number 1
_symmetry_space_group_name_Hall 'P 1'
_cell_length_a 5.022
_cell_length_b 4.552
_cell_length_c 5.022
_cell_angle_alpha 90.00
_cell_angle_beta 90.00
_cell_angle_gamma 90.00
loop_
_atom_site_label
_atom_site_type_symbol
_atom_site_fract_x
_atom_site_fract_y
_atom_site_fract_z
Ni1 Ni 0.500 0.500 0.500
Si1 Si 0.000 0.000 0.000
Sn1 Sn 0.000 0.000 0.500
Sn2 Sn 0.500 0.000 0.000
W1 W 0.000 0.500 0.000
```



(5)
This record from the Alexandria database describes an optimized crystal structure of YFeCoB3. The functional is PBE.

- Density of states at the Fermi level: 0.288 states/eV per atom
- ρ: 5.72 Mg/m³
- Total magnetization: 0.00 μB/f.u.
- Electronic total energy: -87.52 eV/cell
- Energy of formation from the pure elements: -0.28 eV per atom

Structure (CIF):
```
data_YFeCoB3
_chemical_formula_sum 'Y2 Fe2 Co2 B6'
_symmetry_space_group_name_H-M 'P 1'
_symmetry_Int_Tables_number 1
_symmetry_space_group_name_Hall 'P 1'
_cell_length_a 5.663
_cell_length_b 4.961
_cell_length_c 5.476
_cell_angle_alpha 116.93
_cell_angle_beta 90.00
_cell_angle_gamma 90.00
loop_
_atom_site_label
_atom_site_type_symbol
_atom_site_fract_x
_atom_site_fract_y
_atom_site_fract_z
Y1 Y 0.750 0.268 0.536
Y2 Y 0.250 0.732 0.464
Fe1 Fe 0.250 0.028 0.055
Fe2 Fe 0.750 0.972 0.945
Co1 Co 0.250 0.402 0.804
Co2 Co 0.750 0.598 0.196
B1 B 0.250 0.213 0.427
B2 B 0.000 0.308 0.000
B3 B 0.500 0.692 0.000
B4 B 0.500 0.308 0.000
B5 B 0.000 0.692 0.000
B6 B 0.750 0.787 0.573
```



(6)
This record from the Alexandria database describes an optimized crystal structure of LiMgCuSi. The functional is PBE.

- Density of states at the Fermi level: 0.256 states/eV per atom
- Raw formation energy: -53 meV/atom
- ρ: 2.69 Mg/m³
- Total magnetization: 0.00 μB/f.u.
- Electronic total energy: -13.24 eV/cell

Structure (CIF):
```
data_LiMgCuSi
_chemical_formula_sum 'Li1 Mg1 Cu1 Si1'
_symmetry_space_group_name_H-M 'P 1'
_symmetry_Int_Tables_number 1
_symmetry_space_group_name_Hall 'P 1'
_cell_length_a 4.404
_cell_length_b 4.461
_cell_length_c 4.461
_cell_angle_alpha 60.00
_cell_angle_beta 90.00
_cell_angle_gamma 90.00
loop_
_atom_site_label
_atom_site_type_symbol
_atom_site_fract_x
_atom_site_fract_y
_atom_site_fract_z
Li1 Li 0.328 0.667 0.667
Mg1 Mg 0.874 0.000 0.000
Cu1 Cu 0.596 0.333 0.333
Si1 Si 0.095 0.333 0.333
```



(7)
This record from the Alexandria database describes an optimized crystal structure of MgSc2Al. The functional is PBE.

- Density of states at the Fermi level: 1.197 states/eV per atom
- Offset from the most stable computed form: 275 meV/atom
- ρ: 2.75 Mg/m³
- Total magnetization: 0.00 μB/f.u.
- Electronic total energy: -18.05 eV/cell
- Energy of formation from the pure elements: -0.01 eV per atom

Structure (CIF):
```
data_MgSc2Al
_chemical_formula_sum 'Mg1 Sc2 Al1'
_symmetry_space_group_name_H-M 'P 1'
_symmetry_Int_Tables_number 1
_symmetry_space_group_name_Hall 'P 1'
_cell_length_a 4.941
_cell_length_b 4.941
_cell_length_c 4.941
_cell_angle_alpha 60.00
_cell_angle_beta 60.00
_cell_angle_gamma 60.00
loop_
_atom_site_label
_atom_site_type_symbol
_atom_site_fract_x
_atom_site_fract_y
_atom_site_fract_z
Al1 Al 0.500 0.500 0.500
Mg1 Mg 0.750 0.750 0.750
Sc1 Sc 0.000 0.000 0.000
Sc2 Sc 0.250 0.250 0.250
```



(8)
This record from the Alexandria database describes an optimized crystal structure of Sr2YSb. The functional is PBE.

- Density of states at the Fermi level: 0.515 states/eV per atom
- Raw formation energy: -300 meV/atom
- ρ: 4.53 Mg/m³
- Total magnetization: 0.00 μB/f.u.
- Electronic total energy: -15.15 eV/cell

Structure (CIF):
```
data_Sr2YSb
_chemical_formula_sum 'Sr2 Y1 Sb1'
_symmetry_space_group_name_H-M 'P 1'
_symmetry_Int_Tables_number 1
_symmetry_space_group_name_Hall 'P 1'
_cell_length_a 6.728
_cell_length_b 6.728
_cell_length_c 6.728
_cell_angle_alpha 136.73
_cell_angle_beta 136.73
_cell_angle_gamma 62.85
loop_
_atom_site_label
_atom_site_type_symbol
_atom_site_fract_x
_atom_site_fract_y
_atom_site_fract_z
Sb1 Sb 0.750 0.250 0.500
Sr1 Sr 0.000 0.000 0.000
Sr2 Sr 0.250 0.750 0.500
Y1 Y 0.500 0.500 0.000
```



(9)
This record from the Alexandria database describes an optimized crystal structure of AcSmDy2. The functional is PBE.

- Density of states at the Fermi level: 1.689 states/eV per atom
- Offset from the most stable computed form: 140 meV/atom
- ρ: 8.17 Mg/m³
- Total magnetization: 0.00 μB/f.u.
- Electronic total energy: -17.28 eV/cell
- Energy of formation from the pure elements: 0.19 eV per atom

Structure (CIF):
```
data_AcSmDy2
_chemical_formula_sum 'Ac1 Sm1 Dy2'
_symmetry_space_group_name_H-M 'P 1'
_symmetry_Int_Tables_number 1
_symmetry_space_group_name_Hall 'P 1'
_cell_length_a 3.594
_cell_length_b 3.594
_cell_length_c 12.937
_cell_angle_alpha 82.02
_cell_angle_beta 82.02
_cell_angle_gamma 60.00
loop_
_atom_site_label
_atom_site_type_symbol
_atom_site_fract_x
_atom_site_fract_y
_atom_site_fract_z
Ac1 Ac 0.000 0.000 0.000
Sm1 Sm 0.500 0.500 0.500
Dy1 Dy 0.092 0.092 0.724
Dy2 Dy 0.908 0.908 0.276
```



(10)
This record from the Alexandria database describes an optimized crystal structure of RbCrCl3. The functional is PBE.

- Density of states at the Fermi level: 1.767 states/eV per atom
- Raw formation energy: -1191 meV/atom
- ρ: 2.07 Mg/m³
- Total magnetization: 4.00 μB/f.u.
- Electronic total energy: -44.17 eV/cell

Structure (CIF):
```
data_RbCrCl3
_chemical_formula_sum 'Rb2 Cr2 Cl6'
_symmetry_space_group_name_H-M 'P 1'
_symmetry_Int_Tables_number 1
_symmetry_space_group_name_Hall 'P 1'
_cell_length_a 8.771
_cell_length_b 8.771
_cell_length_c 8.771
_cell_angle_alpha 52.35
_cell_angle_beta 52.35
_cell_angle_gamma 52.35
loop_
_atom_site_label
_atom_site_type_symbol
_atom_site_fract_x
_atom_site_fract_y
_atom_site_fract_z
Cr1 Cr 0.250 0.250 0.250
Cr2 Cr 0.750 0.750 0.750
Rb1 Rb 0.000 0.000 0.000
Rb2 Rb 0.500 0.500 0.500
Cl1 Cl 0.956 0.544 0.250
Cl2 Cl 0.544 0.250 0.956
Cl3 Cl 0.250 0.956 0.544
Cl4 Cl 0.750 0.044 0.456
Cl5 Cl 0.456 0.750 0.044
Cl6 Cl 0.044 0.456 0.750
```



(11)
This record from the Alexandria database describes an optimized crystal structure of InW. The functional is PBE.

- Density of states at the Fermi level: 1.097 states/eV per atom
- Offset from the most stable computed form: 1258 meV/atom
- ρ: 11.82 Mg/m³
- Total magnetization: 0.00 μB/f.u.
- Electronic total energy: -12.37 eV/cell
- Energy of formation from the pure elements: 1.66 eV per atom

Structure (CIF):
```
data_InW
_chemical_formula_sum 'In1 W1'
_symmetry_space_group_name_H-M 'P 1'
_symmetry_Int_Tables_number 1
_symmetry_space_group_name_Hall 'P 1'
_cell_length_a 3.900
_cell_length_b 3.900
_cell_length_c 3.900
_cell_angle_alpha 60.00
_cell_angle_beta 60.00
_cell_angle_gamma 60.00
loop_
_atom_site_label
_atom_site_type_symbol
_atom_site_fract_x
_atom_site_fract_y
_atom_site_fract_z
In1 In 0.000 0.000 0.000
W1 W 0.500 0.500 0.500
```



(12)
This record from the Alexandria database describes an optimized crystal structure of TmAlCd2. The functional is PBE.

- Density of states at the Fermi level: 0.122 states/eV per atom
- Offset from the most stable computed form: 93 meV/atom
- ρ: 7.95 Mg/m³
- Total magnetization: 0.00 μB/f.u.
- Electronic total energy: -10.63 eV/cell
- Energy of formation from the pure elements: -0.15 eV per atom

Structure (CIF):
```
data_TmAlCd2
_chemical_formula_sum 'Tm1 Al1 Cd2'
_symmetry_space_group_name_H-M 'P 1'
_symmetry_Int_Tables_number 1
_symmetry_space_group_name_Hall 'P 1'
_cell_length_a 4.991
_cell_length_b 4.991
_cell_length_c 4.991
_cell_angle_alpha 60.00
_cell_angle_beta 60.00
_cell_angle_gamma 60.00
loop_
_atom_site_label
_atom_site_type_symbol
_atom_site_fract_x
_atom_site_fract_y
_atom_site_fract_z
Tm1 Tm 0.000 0.000 0.000
Al1 Al 0.500 0.500 0.500
Cd1 Cd 0.250 0.250 0.250
Cd2 Cd 0.750 0.750 0.750
```